DFT (PBE) results for a relaxed Zr3Pa8 crystal.

Values from the calculation:
* calculated volume: 274.0 Å³/cell
* E_tot: -9.048 eV/atom
* total magnetic moment: 0.0 μB per formula unit

a b c (Å): 5.545 6.469 8.019
angles (deg): 81.99 74.42 85.04
Positions (direct):
Zr (0.000, 0.000, 0.000)
Zr (0.000, 0.500, 0.000)
Zr (0.500, 0.000, 0.500)
Pa (0.020, 0.162, 0.342)
Pa (0.202, 0.412, 0.602)
Pa (0.429, 0.787, 0.183)
Pa (0.488, 0.331, 0.177)
Pa (0.512, 0.669, 0.823)
Pa (0.571, 0.213, 0.817)
Pa (0.798, 0.588, 0.398)
Pa (0.980, 0.838, 0.658)



DFT (PBE) results for a relaxed Pb crystal.

Values from the calculation:
* calculated volume: 157.6 Å³/cell
* offset from the most stable computed form: 363.5 meV per atom
* total magnetic moment: 0.0 μB per formula unit

a b c (Å): 5.437 5.437 6.154
angles (deg): 90.00 90.00 120.00
Positions (direct):
Pb (0.000, 0.000, 0.250)
Pb (0.000, 0.000, 0.750)
Pb (0.333, 0.667, 0.250)
Pb (0.667, 0.333, 0.750)



DFT (PBE) results for a relaxed Pb crystal.

Values from the calculation:
* calculated volume: 264.0 Å³/cell
* offset from the most stable computed form: 100.8 meV per atom
* total magnetic moment: 0.0 μB per formula unit

a b c (Å): 8.897 8.897 8.897
angles (deg): 92.17 92.17 157.54
Positions (direct):
Pb (0.099, 0.841, 0.940)
Pb (0.106, 0.365, 0.471)
Pb (0.159, 0.099, 0.257)
Pb (0.365, 0.894, 0.259)
Pb (0.635, 0.106, 0.741)
Pb (0.841, 0.901, 0.743)
Pb (0.894, 0.635, 0.529)
Pb (0.901, 0.159, 0.060)



DFT (PBE) results for a relaxed Pb crystal.

Values from the calculation:
* calculated volume: 182.8 Å³/cell
* offset from the most stable computed form: 315.8 meV per atom
* total magnetic moment: 0.0 μB per formula unit

a b c (Å): 6.499 6.499 6.499
angles (deg): 98.93 98.93 133.58
Positions (direct):
Pb (0.181, 0.181, 0.362)
Pb (0.181, 0.819, 0.000)
Pb (0.819, 0.181, 0.000)
Pb (0.819, 0.819, 0.638)



DFT (PBE) results for a relaxed Pb crystal.

Values from the calculation:
* calculated volume: 65.5 Å³/cell
* offset from the most stable computed form: 104.9 meV per atom
* total magnetic moment: 0.0 μB per formula unit

a b c (Å): 4.730 4.730 4.730
angles (deg): 101.76 92.82 138.33
Positions (direct):
Pb (0.251, 0.001, 0.250)
Pb (0.749, 0.999, 0.750)



DFT (PBE) results for a relaxed Pb crystal.

Values from the calculation:
* calculated volume: 95.0 Å³/cell
* offset from the most stable computed form: 14.3 meV per atom
* total magnetic moment: 0.0 μB per formula unit

a b c (Å): 3.572 3.572 8.748
angles (deg): 99.51 99.51 60.13
Positions (direct):
Pb (0.000, 0.000, 0.000)
Pb (0.231, 0.231, 0.670)
Pb (0.769, 0.769, 0.330)



DFT (PBE) results for a relaxed Pb crystal.

Values from the calculation:
* calculated volume: 33.8 Å³/cell
* offset from the most stable computed form: 180.6 meV per atom
* total magnetic moment: 0.0 μB per formula unit

a b c (Å): 3.235 3.235 3.235
angles (deg): 90.00 90.00 90.00
Positions (direct):
Pb (0.000, 0.000, 0.000)



DFT (PBE) results for a relaxed Pb crystal.

Values from the calculation:
* calculated volume: 324.5 Å³/cell
* offset from the most stable computed form: 389.0 meV per atom
* total magnetic moment: 0.0 μB per formula unit

a b c (Å): 7.498 7.498 7.498
angles (deg): 109.47 109.47 109.47
Positions (direct):
Pb (0.250, 0.500, 0.750)
Pb (0.250, 0.750, 0.500)
Pb (0.500, 0.250, 0.750)
Pb (0.500, 0.750, 0.250)
Pb (0.750, 0.250, 0.500)
Pb (0.750, 0.500, 0.250)